# Ho2Er2Tc | Alexandria via LeMat-Bulk | PBE-GGA | relaxed
data_Ho2Er2Tc
_chemical_formula_sum 'Ho8 Er8 Tc4'
_space_group_name_H-M_alt 'C 1 2/m 1'
_space_group_IT_number 12
_cell_length_a 11.9948
_cell_length_b 3.8635
_cell_length_c 12.6858
_cell_angle_alpha 90.00
_cell_angle_beta 112.49
_cell_angle_gamma 90.00
loop_
_space_group_symop_operation_xyz
'x,y,z'
'-x,-y,-z'
'-x,y,-z'
'x,-y,z'
'x+1/2,y+1/2,z'
'-x+1/2,-y+1/2,-z'
'-x+1/2,y+1/2,-z'
'x+1/2,-y+1/2,z'
loop_
_atom_site_label
_atom_site_fract_x
_atom_site_fract_y
_atom_site_fract_z
Ho1 0.0052 0.0000 0.1666
Ho2 0.1509 0.5000 0.6938
Er1 0.1233 0.0000 0.4500
Er2 0.1799 0.5000 0.0694
Tc1 0.1807 0.5000 0.3047
# - ΔE_f (eV/atom) = -0.08
# - spin magnetization (Bohr magnetons per cell) = 0.00
# - crystal system = monoclinic
# - theoretical density (Mg/m³) = 9.32